Record 1
Here is crystalline Y3HfPd at its relaxed geometry from the Alexandria database. Energies are from PBE.

The calculation puts the spin magnetization at 2.072 μB/f.u. The density of states at the Fermi level comes out at 11.73 states/eV per cell. The calculation puts the distance to the lowest polymorph of the same formula at 0 meV per atom. For the energy of formation from the pure elements, the calculation gives 199 meV/atom.

Cell lengths 5.376, 5.376, 5.376 Å; angles 90.00, 90.00, 90.00 degrees
Space group Pm-3m (No. 221)
Symmetry-distinct sites (fractional):
Y 0.000 0.000 0.500 [3 per cell]
Hf 0.500 0.500 0.500 [1 per cell]
Pd 0.000 0.000 0.000 [1 per cell]

---

Record 2
Here is crystalline Cu2MoW at its relaxed geometry from the Alexandria database. Energies are from PBE.

The calculation puts the spin magnetization at 0.000 μB/f.u. The density of states at the Fermi level comes out at 8.52 states/eV per cell. The calculation puts the distance to the lowest polymorph of the same formula at 115 meV per atom. For the energy of formation from the pure elements, the calculation gives 301 meV/atom.

Cell lengths 5.248, 8.154, 2.625 Å; angles 90.00, 90.33, 90.00 degrees
Space group C2/m (No. 12)
Symmetry-distinct sites (fractional):
Cu 0.250 0.250 0.000 [4 per cell]
Mo 0.000 0.000 0.500 [2 per cell]
W 0.000 0.500 0.500 [2 per cell]

---

What is the density of states at the Fermi level in the second record?
8.52 states/eV per cell

---

What is the formula in the first record?
Y3HfPd

---

Which of these has the highest distance to the lowest polymorph of the same formula?
Cu2MoW